1.
A relaxed structure of CsCd2Pt, computed with PBE-GGA.

The structure in extended XYZ format:
```
8
Lattice="-3.607 2.388 -3.269 5.363 1.085 -5.124 -2.555 -8.682 0.973" Properties=species:S:1:pos:R:3 pbc="T T T"
Cs 2.133 -1.729 -3.617
Cs -2.931 -3.481 -3.804
Cd -2.701 -7.153 -2.245
Cd 1.903 1.944 -5.176
Cd -0.274 -3.039 -6.414
Cd -0.524 -2.170 -1.007
Pt -0.875 0.579 -0.793
Pt -2.732 1.809 -2.476
```

Properties
Final energy   -2.21 eV/atom
ΔE_f   -0.0273 eV per atom
ρ   5.76 g/cm3

---

2.
A relaxed structure of CsCd3Pt, computed with PBE-GGA.

The structure in extended XYZ format:
```
10
Lattice="6.372 -0.001 0.000 0.001 7.341 0.104 -0.001 -3.237 6.601" Properties=species:S:1:pos:R:3 pbc="T T T"
Cs 2.525 4.294 2.561
Cs 5.711 3.274 0.829
Pt 4.114 0.321 3.823
Pt 0.928 4.005 6.174
Cd 5.696 2.381 4.669
Cd 2.537 0.484 1.597
Cd 2.508 1.945 5.323
Cd 5.724 -0.257 1.695
Cd 2.524 -1.200 5.453
Cd 5.710 -1.816 4.438
```

Properties
Final energy   -2.10 eV/atom
ΔE_f   -0.1740 eV per atom
ρ   7.11 g/cm3

---

3.
A relaxed structure of Cs3Cd4Pt, computed with PBE-GGA.

The structure in extended XYZ format:
```
8
Lattice="7.354 -0.451 2.267 -4.014 6.178 -2.267 -1.206 -3.134 6.939" Properties=species:S:1:pos:R:3 pbc="T T T"
Cs 2.196 -1.280 6.314
Cs 5.642 -3.290 8.448
Cs 0.712 3.422 1.783
Cd -2.270 1.324 5.306
Cd -0.212 0.124 3.465
Cd 2.856 0.370 2.951
Cd -2.929 3.510 0.683
Pt -2.480 1.446 2.530
```

Properties
Final energy   -1.63 eV/atom
ΔE_f   -0.0952 eV per atom
ρ   5.88 g/cm3